No. 1
The following is a DFT calculation (meta-GGA SCAN) of a PBEsol-optimized structure of K2MgSb.

## Properties
* symmetry: No. 216
* total magnetic moment: 0.00 μB/atom
* formation energy (no corrections): -15.38 kJ per mole of atoms

Lattice parameters (Å, degrees): 5.692 5.692 5.692 60.00 60.00 60.00
Fractional coordinates of all 4 atoms:
K 0.000 0.000 0.000
K 0.250 0.250 0.250
Mg 0.500 0.500 0.500
Sb 0.750 0.750 0.750


No. 2
The following is a DFT calculation (meta-GGA SCAN) of a PBEsol-optimized structure of KMgSb2.

## Properties
* symmetry: No. 44
* total magnetic moment: 0.00 μB/atom
* formation energy (no corrections): -11.07 kJ per mole of atoms

Lattice parameters (Å, degrees): 6.445 6.445 6.445 143.88 131.56 61.89
Fractional coordinates of all 4 atoms:
K 0.000 0.000 0.000
Mg 0.713 0.213 0.500
Sb 0.271 0.771 0.500
Sb 0.468 0.468 0.000


No. 3
The following is a DFT calculation (meta-GGA SCAN) of a PBEsol-optimized structure of KMgSc.

## Properties
* symmetry: No. 216
* DFT formation energy: 0.95 eV per atom
* total magnetic moment: 0.57 μB/atom

Lattice parameters (Å, degrees): 5.453 5.453 5.453 60.00 60.00 60.00
Fractional coordinates of all 3 atoms:
K 0.000 0.000 0.000
Mg 0.500 0.500 0.500
Sc 0.250 0.250 0.250


No. 4
The following is a DFT calculation (meta-GGA SCAN) of a PBEsol-optimized structure of K3MgSe.

## Properties
* symmetry: No. 221
* total magnetic moment: 0.15 μB/atom
* formation energy (no corrections): -46.27 kJ per mole of atoms

Lattice parameters (Å, degrees): 6.251 6.251 6.251 90.00 90.00 90.00
Fractional coordinates of all 5 atoms:
K 0.000 0.000 0.500
K 0.000 0.500 0.000
K 0.500 0.000 0.000
Mg 0.500 0.500 0.500
Se 0.000 0.000 0.000


No. 5
The following is a DFT calculation (meta-GGA SCAN) of a PBEsol-optimized structure of KMgSe2.

## Properties
* symmetry: No. 99
* total magnetic moment: 0.00 μB/atom
* formation energy (no corrections): -93.08 kJ per mole of atoms

Lattice parameters (Å, degrees): 3.616 3.616 8.487 90.00 90.00 90.00
Fractional coordinates of all 4 atoms:
K 0.000 0.000 0.000
Mg 0.500 0.500 0.470
Se 0.000 0.000 0.372
Se 0.500 0.500 0.774


No. 6
The following is a DFT calculation (meta-GGA SCAN) of a PBEsol-optimized structure of KMgSe2.

## Properties
* symmetry: No. 47
* total magnetic moment: 0.00 μB/atom
* formation energy (no corrections): -90.87 kJ per mole of atoms

Lattice parameters (Å, degrees): 3.116 3.685 7.950 90.00 90.00 90.00
Fractional coordinates of all 4 atoms:
K 0.000 0.000 0.000
Mg 0.000 0.000 0.500
Se 0.500 0.500 0.288
Se 0.500 0.500 0.712


No. 7
The following is a DFT calculation (meta-GGA SCAN) of a PBEsol-optimized structure of KMgZnSe2.

## Properties
* symmetry: No. 123
* total magnetic moment: 0.00 μB/atom
* formation energy (no corrections): -31.14 kJ per mole of atoms

Lattice parameters (Å, degrees): 5.167 5.167 4.852 90.00 90.00 90.00
Fractional coordinates of all 5 atoms:
K 0.000 0.000 0.000
Mg 0.500 0.500 0.000
Zn 0.500 0.500 0.500
Se 0.000 0.500 0.500
Se 0.500 0.000 0.500


No. 8
The following is a DFT calculation (meta-GGA SCAN) of a PBEsol-optimized structure of K2MgSi.

## Properties
* symmetry: No. 44
* total magnetic moment: 0.00 μB/atom
* formation energy (no corrections): 8.94 kJ per mole of atoms

Lattice parameters (Å, degrees): 6.139 6.139 6.139 135.12 121.00 77.08
Fractional coordinates of all 4 atoms:
K 0.000 0.000 0.000
K 0.689 0.189 0.500
Mg 0.301 0.801 0.500
Si 0.406 0.406 0.000


Listing D(E_F) for the structures above in their given order: 2.305; 1.609; 4.331; 3.306; 1.947; 0.531; 2.605; 0.079 states/eV per cell.
Listing raw total energy for the structures above in their given order: -14.8824; -22.0707; -8.2315; -10.4872; -14.3295; -14.3066; -13.7177; -7.8190 eV/atom.